Density functional theory data (PBE) for an optimized crystal structure of Dy5Y4Tl.

Properties
The energy relative to the elements comes out at 0.127 eV per atom. As for the density of states at the Fermi level: 14.3 states/eV/f.u.

abc: 8.0480 8.0480 8.0480
angles: 97.51 97.51 137.61
Closest atoms and distances in Å follow each position.
Sites, in units of the cell vectors:
Dy1 0.0000 0.0000 0.0000  2 Tl 2.80-3.02
Dy2 0.5250 0.5250 0.6295  1 Tl 3.08, 1 Dy 3.25, 2 Y 3.34
Dy3 0.5250 0.8955 0.0000  1 Tl 3.08, 1 Dy 3.25, 2 Y 3.34
Dy4 0.8955 0.5250 0.0000  1 Tl 3.08, 1 Dy 3.25, 2 Y 3.34
Dy5 0.8955 0.8955 0.3705  1 Tl 3.08, 1 Dy 3.25, 2 Y 3.34
Y1 0.2025 0.5185 0.3160  5 Dy 3.34-3.74, 1 Tl 3.72
Y2 0.2025 0.8864 0.6840  5 Dy 3.34-3.74, 1 Tl 3.72
Y3 0.5185 0.2025 0.3160  5 Dy 3.34-3.74, 1 Tl 3.72
Y4 0.8864 0.2025 0.6840  5 Dy 3.34-3.74, 1 Tl 3.72
Tl1 0.4808 0.4808 0.0000  6 Dy 2.80-3.08